Record 1
Density functional theory data (GGA-PBE) for an optimized crystal structure of LiNd2Y3Te6.

Unit cell a=19.2300 b=4.3882 c=8.8246 alpha=90.00 beta=103.45 gamma=90.00
With the nearest neighbours (Å) after each atom.
Space group C2/m (No. 12)
One atom of each set of equivalent atoms:
Li 0.0000 0.0000 0.0000 (multiplicity 2)  6 Te 3.03-3.08
Nd 0.1703 0.5000 0.3416 (multiplicity 4)  6 Te 3.13-3.23
Y 0.0000 0.0000 0.5000 (multiplicity 2)  6 Te 3.03-3.15
Y 0.1700 0.5000 0.8318 (multiplicity 4)  6 Te 3.04-3.14
Te 0.0022 0.5000 0.7568 (multiplicity 4)  2 Li 3.08, 3 Y 3.14-3.15, 1 Nd 3.23
Te 0.1621 0.0000 0.0742 (multiplicity 4)  1 Li 3.03, 3 Y 3.09-3.14, 2 Nd 3.20
Te 0.1622 0.0000 0.5905 (multiplicity 4)  3 Y 3.03-3.04, 3 Nd 3.13-3.14

Values from the calculation:
The spin magnetization comes out at 0.0 μB/f.u. The value obtained for the uncorrected formation energy is -1.363 eV per atom. Its density is 6.09 Mg/m³. The calculation puts the uncorrected energy at -132.09 eV/cell.

=====

Record 2
Density functional theory data (GGA-PBE) for an optimized crystal structure of LiNd3Y2Te6.

Unit cell a=19.2804 b=4.4118 c=8.8514 alpha=90.00 beta=103.66 gamma=90.00
With the nearest neighbours (Å) after each atom.
Space group C2/m (No. 12)
One atom of each set of equivalent atoms:
Li 0.0000 0.0000 0.0000 (multiplicity 2)  6 Te 3.01-3.03
Nd 0.0000 0.0000 0.5000 (multiplicity 2)  6 Te 3.16-3.22
Nd 0.1673 0.5000 0.8305 (multiplicity 4)  6 Te 3.15-3.23
Y 0.1666 0.5000 0.3363 (multiplicity 4)  6 Te 3.07-3.10
Te 0.0022 0.5000 0.2361 (multiplicity 4)  2 Li 3.03, 1 Y 3.08, 3 Nd 3.18-3.22
Te 0.1604 0.0000 0.0867 (multiplicity 4)  1 Li 3.01, 2 Y 3.10, 3 Nd 3.19-3.23
Te 0.1686 0.0000 0.5777 (multiplicity 4)  3 Y 3.07-3.09, 3 Nd 3.15-3.16

Values from the calculation:
The spin magnetization comes out at 0.0 μB/f.u. The value obtained for the uncorrected formation energy is -1.369 eV per atom. Its density is 6.28 Mg/m³. The calculation puts the uncorrected energy at -128.86 eV/cell.

=====

Record 3
Density functional theory data (GGA-PBE) for an optimized crystal structure of Li2NdZrTe4.

Unit cell a=7.3902 b=4.2183 c=7.5349 alpha=90.00 beta=108.61 gamma=90.00
With the nearest neighbours (Å) after each atom.
Space group P2/m (No. 10)
One atom of each set of equivalent atoms:
Li 0.0000 0.0000 0.0000 (multiplicity 1)  6 Te 3.08
Li 0.5000 0.5000 0.0000 (multiplicity 1)  6 Te 2.92-2.93
Nd 0.0000 0.5000 0.5000 (multiplicity 1)  6 Te 3.14
Zr 0.5000 0.0000 0.5000 (multiplicity 1)  6 Te 2.98-2.99
Te 0.2660 0.5000 0.2479 (multiplicity 2)  3 Li 2.92-3.08, 2 Zr 2.99, 1 Nd 3.14
Te 0.2713 0.0000 0.7625 (multiplicity 2)  3 Li 2.93-3.08, 1 Zr 2.98, 2 Nd 3.14

Values from the calculation:
The spin magnetization comes out at 0.0 μB/f.u. The value obtained for the uncorrected formation energy is -1.075 eV per atom. Its density is 5.67 Mg/m³. The calculation puts the uncorrected energy at -38.31 eV/cell.

=====

Record 4
Density functional theory data (GGA-PBE) for an optimized crystal structure of Li2NdTh.

Unit cell a=3.6847 b=3.6847 c=7.6415 alpha=90.00 beta=90.00 gamma=90.00
With the nearest neighbours (Å) after each atom.
Space group P4/mmm (No. 123)
One atom of each set of equivalent atoms:
Li 0.0000 0.0000 0.2491 (multiplicity 2)  4 Th 3.23, 4 Nd 3.23
Nd 0.5000 0.5000 0.5000 (multiplicity 1)  8 Li 3.23
Th 0.5000 0.5000 0.0000 (multiplicity 1)  8 Li 3.23

Values from the calculation:
The spin magnetization comes out at 0.0 μB/f.u. Its density is 6.24 Mg/m³. The calculation puts the uncorrected energy at -15.13 eV/cell. The formation energy from the elements is 0.221 eV per atom. As for the excess energy over the best structure of this formula in the dataset: 0 kJ/mol of formula units.

=====

| no. | D(E_F) (states/eV/f.u.) |
| --- | --- |
| 1 | 3.98 |
| 2 | 4.59 |
| 3 | 3.04 |
| 4 | 4.35 |